Below is a crystal of Tc5Os relaxed with PBEsol, with properties calculated at the meta-GGA SCAN level.

Lattice parameters (Å, degrees): 6.0542 6.0542 3.8271 90.00 90.00 143.16
With the nearest neighbours (Å) after each atom.
Atoms (fractional coordinates):
Tc1 0.0000 0.0000 0.0000  8 Tc 2.69-2.70, 4 Os 2.71
Tc2 0.1650 0.8350 0.5000  2 Os 2.69, 10 Tc 2.69-2.73
Tc3 0.3340 0.6660 0.0000  10 Tc 2.70-2.73, 2 Os 2.70
Tc4 0.6660 0.3340 0.0000  10 Tc 2.70-2.73, 2 Os 2.70
Tc5 0.8350 0.1650 0.5000  2 Os 2.69, 10 Tc 2.69-2.73
Os1 0.5000 0.5000 0.5000  12 Tc 2.69-2.71

Summary:
Uncorrected energy   -41.154 eV/atom
Total moment   0.00 μB per formula unit